Run a
YGa3Fe | PBE-GGA | optimized geometry

```
data_YGa3Fe
_chemical_formula_sum 'Y1 Ga3 Fe1'
_space_group_name_H-M_alt 'P m -3 m'
_space_group_IT_number 221
_space_group_name_Hall '-P 4 2 3'
_cell_length_a 4.4543
_cell_length_b 4.4543
_cell_length_c 4.4543
_cell_angle_alpha 90.00
_cell_angle_beta 90.00
_cell_angle_gamma 90.00
loop_
_atom_site_label
_atom_site_type_symbol
_atom_site_fract_x
_atom_site_fract_y
_atom_site_fract_z
Y1 Y 0.0000 0.0000 0.0000
Ga1 Ga 0.0000 0.5000 0.5000
Fe1 Fe 0.5000 0.5000 0.5000
```

## Properties
total moment	0.00	μB/f.u.

Run b
YGa3Fe | PBE-GGA | optimized geometry

```
data_YGa3Fe
_chemical_formula_sum 'Y4 Ga12 Fe4'
_space_group_name_H-M_alt 'I m m m'
_space_group_IT_number 71
_space_group_name_Hall '-I 2 2'
_cell_length_a 6.6951
_cell_length_b 6.8132
_cell_length_c 8.4038
_cell_angle_alpha 90.00
_cell_angle_beta 90.00
_cell_angle_gamma 90.00
loop_
_atom_site_label
_atom_site_type_symbol
_atom_site_fract_x
_atom_site_fract_y
_atom_site_fract_z
Y1 Y 0.0000 0.0000 0.2479
Ga1 Ga 0.0000 0.5000 0.2614
Ga2 Ga 0.1910 0.3041 0.5000
Fe1 Fe 0.0000 0.3430 0.0000
```

## Properties
total moment	1.69	μB/f.u.

Computed stability ranking, most favorable first: run a, run b

Run a
Zn3GaFe | PBE-GGA | optimized geometry

```
data_Zn3GaFe
_chemical_formula_sum 'Zn3 Ga1 Fe1'
_space_group_name_H-M_alt 'P m -3 m'
_space_group_IT_number 221
_space_group_name_Hall '-P 4 2 3'
_cell_length_a 4.6548
_cell_length_b 4.6548
_cell_length_c 4.6548
_cell_angle_alpha 90.00
_cell_angle_beta 90.00
_cell_angle_gamma 90.00
loop_
_atom_site_label
_atom_site_type_symbol
_atom_site_fract_x
_atom_site_fract_y
_atom_site_fract_z
Zn1 Zn 0.0000 0.0000 0.5000
Ga1 Ga 0.5000 0.5000 0.5000
Fe1 Fe 0.0000 0.0000 0.0000
```

## Properties
total moment	0.00	μB/f.u.

Run b
Zn3GaFe | PBE-GGA | optimized geometry

```
data_Zn3GaFe
_chemical_formula_sum 'Zn3 Ga1 Fe1'
_space_group_name_H-M_alt 'P m -3 m'
_space_group_IT_number 221
_space_group_name_Hall '-P 4 2 3'
_cell_length_a 4.6780
_cell_length_b 4.6780
_cell_length_c 4.6780
_cell_angle_alpha 90.00
_cell_angle_beta 90.00
_cell_angle_gamma 90.00
loop_
_atom_site_label
_atom_site_type_symbol
_atom_site_fract_x
_atom_site_fract_y
_atom_site_fract_z
Zn1 Zn 0.0000 0.0000 0.5000
Ga1 Ga 0.0000 0.0000 0.0000
Fe1 Fe 0.5000 0.5000 0.5000
```

## Properties
total moment	3.20	μB/f.u.

Computed stability ranking, most favorable first: run a, run b

Run a
Zn2GaFe2 | PBE-GGA | optimized geometry

```
data_Zn2GaFe2
_chemical_formula_sum 'Zn4 Ga2 Fe4'
_space_group_name_H-M_alt 'P 4/m b m'
_space_group_IT_number 127
_space_group_name_Hall '-P 4 2ab'
_cell_length_a 6.0101
_cell_length_b 6.0101
_cell_length_c 3.8106
_cell_angle_alpha 90.00
_cell_angle_beta 90.00
_cell_angle_gamma 90.00
loop_
_atom_site_label
_atom_site_type_symbol
_atom_site_fract_x
_atom_site_fract_y
_atom_site_fract_z
Zn1 Zn 0.1638 0.3362 0.0000
Ga1 Ga 0.0000 0.0000 0.5000
Fe1 Fe 0.1308 0.6308 0.5000
```

## Properties
total moment	2.32	μB/f.u.

Run b
Zn2GaFe2 | PBE-GGA | optimized geometry

```
data_Zn2GaFe2
_chemical_formula_sum 'Zn4 Ga2 Fe4'
_space_group_name_H-M_alt 'P 4/m b m'
_space_group_IT_number 127
_space_group_name_Hall '-P 4 2ab'
_cell_length_a 6.7970
_cell_length_b 6.7970
_cell_length_c 2.9972
_cell_angle_alpha 90.00
_cell_angle_beta 90.00
_cell_angle_gamma 90.00
loop_
_atom_site_label
_atom_site_type_symbol
_atom_site_fract_x
_atom_site_fract_y
_atom_site_fract_z
Zn1 Zn 0.1307 0.3693 0.0000
Ga1 Ga 0.0000 0.0000 0.0000
Fe1 Fe 0.1666 0.6666 0.5000
```

## Properties
total moment	4.67	μB/f.u.

Computed stability ranking, most favorable first: run a, run b

Run a
ZrGa3Fe | PBE-GGA | optimized geometry

```
data_ZrGa3Fe
_chemical_formula_sum 'Zr1 Ga3 Fe1'
_space_group_name_H-M_alt 'P m -3 m'
_space_group_IT_number 221
_space_group_name_Hall '-P 4 2 3'
_cell_length_a 4.4078
_cell_length_b 4.4078
_cell_length_c 4.4078
_cell_angle_alpha 90.00
_cell_angle_beta 90.00
_cell_angle_gamma 90.00
loop_
_atom_site_label
_atom_site_type_symbol
_atom_site_fract_x
_atom_site_fract_y
_atom_site_fract_z
Zr1 Zr 0.0000 0.0000 0.0000
Ga1 Ga 0.0000 0.5000 0.5000
Fe1 Fe 0.5000 0.5000 0.5000
```

## Properties
total moment	0.00	μB/f.u.

Run b
ZrGa3Fe | PBE-GGA | optimized geometry

```
data_ZrGa3Fe
_chemical_formula_sum 'Zr1 Ga3 Fe1'
_space_group_name_H-M_alt 'P m -3 m'
_space_group_IT_number 221
_space_group_name_Hall '-P 4 2 3'
_cell_length_a 5.0541
_cell_length_b 5.0541
_cell_length_c 5.0541
_cell_angle_alpha 90.00
_cell_angle_beta 90.00
_cell_angle_gamma 90.00
loop_
_atom_site_label
_atom_site_type_symbol
_atom_site_fract_x
_atom_site_fract_y
_atom_site_fract_z
Zr1 Zr 0.0000 0.0000 0.0000
Ga1 Ga 0.0000 0.0000 0.5000
Fe1 Fe 0.5000 0.5000 0.5000
```

## Properties
total moment	0.15	μB/f.u.

Computed stability ranking, most favorable first: run a, run b

Run a
Gd2FeHg | PBE-GGA | optimized geometry

```
data_Gd2FeHg
_chemical_formula_sum 'Gd8 Fe4 Hg4'
_space_group_name_H-M_alt 'F m -3 m'
_space_group_IT_number 225
_space_group_name_Hall '-F 4 2 3'
_cell_length_a 7.2324
_cell_length_b 7.2324
_cell_length_c 7.2324
_cell_angle_alpha 90.00
_cell_angle_beta 90.00
_cell_angle_gamma 90.00
loop_
_atom_site_label
_atom_site_type_symbol
_atom_site_fract_x
_atom_site_fract_y
_atom_site_fract_z
Gd1 Gd 0.2500 0.2500 0.2500
Fe1 Fe 0.0000 0.0000 0.0000
Hg1 Hg 0.0000 0.0000 0.5000
```

## Properties
total moment	12.72	μB/f.u.

Run b
Gd2FeHg | PBE-GGA | optimized geometry

```
data_Gd2FeHg
_chemical_formula_sum 'Gd2 Fe1 Hg1'
_space_group_name_H-M_alt 'P 4/m m m'
_space_group_IT_number 123
_space_group_name_Hall '-P 4 2'
_cell_length_a 3.5012
_cell_length_b 3.5012
_cell_length_c 7.5950
_cell_angle_alpha 90.00
_cell_angle_beta 90.00
_cell_angle_gamma 90.00
loop_
_atom_site_label
_atom_site_type_symbol
_atom_site_fract_x
_atom_site_fract_y
_atom_site_fract_z
Gd1 Gd 0.0000 0.0000 0.2173
Fe1 Fe 0.5000 0.5000 0.0000
Hg1 Hg 0.5000 0.5000 0.5000
```

## Properties
total moment	12.95	μB/f.u.

Computed stability ranking, most favorable first: run b, run a

Run a
Gd2HoFe | PBE-GGA | optimized geometry

```
data_Gd2HoFe
_chemical_formula_sum 'Gd6 Ho3 Fe3'
_space_group_name_H-M_alt 'R -3 m'
_space_group_IT_number 166
_space_group_name_Hall '-R 3 2"'
_cell_length_a 3.4699
_cell_length_b 3.4699
_cell_length_c 31.5878
_cell_angle_alpha 90.00
_cell_angle_beta 90.00
_cell_angle_gamma 120.00
loop_
_atom_site_label
_atom_site_type_symbol
_atom_site_fract_x
_atom_site_fract_y
_atom_site_fract_z
Gd1 Gd 0.0000 0.0000 0.1079
Ho1 Ho 0.0000 0.0000 0.0000
Fe1 Fe 0.0000 0.0000 0.5000
```

## Properties
total moment	15.83	μB/f.u.

Run b
Gd2HoFe | PBE-GGA | optimized geometry

```
data_Gd2HoFe
_chemical_formula_sum 'Gd2 Ho1 Fe1'
_space_group_name_H-M_alt 'P 4/m m m'
_space_group_IT_number 123
_space_group_name_Hall '-P 4 2'
_cell_length_a 3.4675
_cell_length_b 3.4675
_cell_length_c 8.6852
_cell_angle_alpha 90.00
_cell_angle_beta 90.00
_cell_angle_gamma 90.00
loop_
_atom_site_label
_atom_site_type_symbol
_atom_site_fract_x
_atom_site_fract_y
_atom_site_fract_z
Gd1 Gd 0.0000 0.0000 0.1892
Ho1 Ho 0.5000 0.5000 0.5000
Fe1 Fe 0.5000 0.5000 0.0000
```

## Properties
total moment	12.37	μB/f.u.

Computed stability ranking, most favorable first: run b, run a